A plane-wave DFT calculation with PBE was carried out for Pm3PrTh2S6 after structural relaxation.

Properties
Formation energy without anion corrections in eV/atom: -1.956
Calculated density in Mg/m³: 7.28
Total magnetic moment in Bohr magnetons per cell: 0.00
SG: C2/m
DOS(E_F) in states/eV/f.u.: 6.35

Cell: 6.980 6.980 7.045 Å, 99.52 99.52 119.84°
Fractional positions:
Pm1 0.000 0.000 0.000
Pm2 0.337 0.663 0.000
Pm3 0.663 0.337 0.000
Pr1 0.500 0.500 0.500
Th1 0.167 0.833 0.500
Th2 0.833 0.167 0.500
S1 0.078 0.415 0.245
S2 0.246 0.246 0.750
S3 0.415 0.078 0.245
S4 0.585 0.922 0.755
S5 0.754 0.754 0.250
S6 0.922 0.585 0.755